# LiScCd4

A relaxed LiScCd4 crystal (GGA-PBE, Alexandria via LeMat-Bulk). Values from VASP.

- N(E_F): 0.6368 states/eV/atom
- Polymorph energy (0 for the lowest one): 1.1 kJ per mole of atoms
- Magnetization: 0.00 μB/f.u.
- Crystal system: monoclinic

Quantum ESPRESSO input file:
```
&SYSTEM
  ibrav = 0, nat = 6, ntyp = 3
/
ATOMIC_SPECIES
Li 6.94 Li.upf
Sc 44.96 Sc.upf
Cd 112.41 Cd.upf
CELL_PARAMETERS angstrom
5.262 -2.434 0.000
5.262 2.434 0.000
-3.889 0.000 5.095
ATOMIC_POSITIONS crystal
Li 0.000 0.000 0.000
Sc 0.000 0.000 0.500
Cd 0.332 0.332 0.083
Cd 0.333 0.333 0.581
Cd 0.667 0.667 0.419
Cd 0.668 0.668 0.917
```

=====

# FeRu2Pt

A relaxed FeRu2Pt crystal (GGA-PBE, Alexandria via LeMat-Bulk). Values from VASP.

- N(E_F): 1.2641 states/eV/atom
- Calculated total energy: -32.6 eV per cell
- Magnetization: 2.50 μB/f.u.
- Crystal system: orthorhombic

Quantum ESPRESSO input file:
```
&SYSTEM
  ibrav = 0, nat = 4, ntyp = 3
/
ATOMIC_SPECIES
Fe 55.84 Fe.upf
Ru 101.07 Ru.upf
Pt 195.08 Pt.upf
CELL_PARAMETERS angstrom
2.697 -3.817 0.000
2.697 3.817 0.000
0.000 0.000 2.708
ATOMIC_POSITIONS crystal
Fe 0.000 0.000 0.000
Ru 0.000 0.500 0.500
Ru 0.500 0.000 0.500
Pt 0.500 0.500 0.000
```

=====

# MnCo3Os

A relaxed MnCo3Os crystal (GGA-PBE, Alexandria via LeMat-Bulk). Values from VASP.

- N(E_F): 1.8501 states/eV/atom
- Polymorph energy (0 for the lowest one): 0.0 kJ per mole of atoms
- Magnetization: 6.58 μB/f.u.
- Crystal system: cubic

Quantum ESPRESSO input file:
```
&SYSTEM
  ibrav = 0, nat = 5, ntyp = 3
/
ATOMIC_SPECIES
Mn 54.94 Mn.upf
Co 58.93 Co.upf
Os 190.23 Os.upf
CELL_PARAMETERS angstrom
4.433 0.000 0.000
0.000 4.433 0.000
0.000 0.000 4.433
ATOMIC_POSITIONS crystal
Mn 0.000 0.000 0.000
Co 0.000 0.500 0.500
Co 0.500 0.000 0.500
Co 0.500 0.500 0.000
Os 0.500 0.500 0.500
```

=====

# ThPaPb2

A relaxed ThPaPb2 crystal (GGA-PBE, Alexandria via LeMat-Bulk). Values from VASP.

- N(E_F): 1.4144 states/eV/atom
- Polymorph energy (0 for the lowest one): 0.3 kJ per mole of atoms
- Magnetization: 0.88 μB/f.u.
- Crystal system: tetragonal

Quantum ESPRESSO input file:
```
&SYSTEM
  ibrav = 0, nat = 4, ntyp = 3
/
ATOMIC_SPECIES
Th 232.04 Th.upf
Pa 231.04 Pa.upf
Pb 207.20 Pb.upf
CELL_PARAMETERS angstrom
5.047 0.000 0.000
0.000 5.047 0.000
0.000 0.000 4.514
ATOMIC_POSITIONS crystal
Th 0.000 0.000 0.000
Pa 0.500 0.500 0.000
Pb 0.000 0.500 0.500
Pb 0.500 0.000 0.500
```

=====

# KLaTl2Ru

A relaxed KLaTl2Ru crystal (GGA-PBE, Alexandria via LeMat-Bulk). Values from VASP.

- N(E_F): 0.8074 states/eV/atom
- Calculated total energy: -20.6 eV per cell
- Magnetization: 0.00 μB/f.u.
- Crystal system: tetragonal

Quantum ESPRESSO input file:
```
&SYSTEM
  ibrav = 0, nat = 5, ntyp = 4
/
ATOMIC_SPECIES
K 39.10 K.upf
La 138.91 La.upf
Tl 204.38 Tl.upf
Ru 101.07 Ru.upf
CELL_PARAMETERS angstrom
5.524 0.000 0.000
0.000 5.524 0.000
0.000 0.000 5.179
ATOMIC_POSITIONS crystal
K 0.000 0.000 0.000
La 0.500 0.500 0.000
Tl 0.000 0.500 0.500
Tl 0.500 0.000 0.500
Ru 0.500 0.500 0.500
```

=====

# BaTbHgTe3

A relaxed BaTbHgTe3 crystal (GGA-PBE, Alexandria via LeMat-Bulk). Values from VASP.

- Formation energy from raw total energies: -1.171 eV per atom
- N(E_F): 0.0847 states/eV/atom
- Magnetization: 0.00 μB/f.u.
- Crystal system: monoclinic

Quantum ESPRESSO input file:
```
&SYSTEM
  ibrav = 0, nat = 12, ntyp = 4
/
ATOMIC_SPECIES
Ba 137.33 Ba.upf
Tb 158.93 Tb.upf
Hg 200.59 Hg.upf
Te 127.60 Te.upf
CELL_PARAMETERS angstrom
8.920 0.000 0.000
0.000 4.485 0.000
-2.821 0.000 10.506
ATOMIC_POSITIONS crystal
Ba 0.229 0.250 0.283
Ba 0.771 0.750 0.717
Tb 0.331 0.750 0.833
Tb 0.669 0.250 0.167
Hg 0.105 0.250 0.566
Hg 0.895 0.750 0.434
Te 0.088 0.250 0.837
Te 0.348 0.750 0.551
Te 0.419 0.750 0.129
Te 0.581 0.250 0.871
Te 0.652 0.250 0.449
Te 0.912 0.750 0.163
```

=====

# K2Cd12InAu3

A relaxed K2Cd12InAu3 crystal (GGA-PBE, Alexandria via LeMat-Bulk). Values from VASP.

- N(E_F): 0.3110 states/eV/atom
- Calculated total energy: -24.5 eV per cell
- Magnetization: 0.00 μB/f.u.
- Crystal system: trigonal

Quantum ESPRESSO input file:
```
&SYSTEM
  ibrav = 0, nat = 18, ntyp = 4
/
ATOMIC_SPECIES
K 39.10 K.upf
Cd 112.41 Cd.upf
In 114.82 In.upf
Au 196.97 Au.upf
CELL_PARAMETERS angstrom
4.937 2.851 6.903
-4.937 2.851 6.903
0.000 -5.701 6.903
ATOMIC_POSITIONS crystal
K 0.095 0.095 0.095
K 0.905 0.905 0.905
Cd 0.135 0.637 0.637
Cd 0.164 0.164 0.508
Cd 0.164 0.508 0.164
Cd 0.363 0.363 0.865
Cd 0.363 0.865 0.363
Cd 0.492 0.836 0.836
Cd 0.508 0.164 0.164
Cd 0.637 0.135 0.637
Cd 0.637 0.637 0.135
Cd 0.836 0.492 0.836
Cd 0.836 0.836 0.492
Cd 0.865 0.363 0.363
In 0.500 0.500 0.500
Au 0.000 0.500 0.500
Au 0.500 0.000 0.500
Au 0.500 0.500 0.000
```

=====

# ScFeSe

A relaxed ScFeSe crystal (GGA-PBE, Alexandria via LeMat-Bulk). Values from VASP.

- Formation energy from raw total energies: -0.453 eV per atom
- N(E_F): 1.4755 states/eV/atom
- Polymorph energy (0 for the lowest one): 17.0 kJ per mole of atoms
- Magnetization: 0.97 μB/f.u.
- Crystal system: cubic

Quantum ESPRESSO input file:
```
&SYSTEM
  ibrav = 0, nat = 3, ntyp = 3
/
ATOMIC_SPECIES
Sc 44.96 Sc.upf
Fe 55.84 Fe.upf
Se 78.96 Se.upf
CELL_PARAMETERS angstrom
0.000 2.914 2.914
2.914 0.000 2.914
2.914 2.914 0.000
ATOMIC_POSITIONS crystal
Sc 0.000 0.000 0.000
Fe 0.750 0.750 0.750
Se 0.500 0.500 0.500
```

=====

# Sr2MgIn2

A relaxed Sr2MgIn2 crystal (GGA-PBE, Alexandria via LeMat-Bulk). Values from VASP.

- N(E_F): 0.6714 states/eV/atom
- Polymorph energy (0 for the lowest one): 26.9 kJ per mole of atoms
- Magnetization: 0.00 μB/f.u.
- Crystal system: tetragonal

Quantum ESPRESSO input file:
```
&SYSTEM
  ibrav = 0, nat = 10, ntyp = 3
/
ATOMIC_SPECIES
Sr 87.62 Sr.upf
Mg 24.30 Mg.upf
In 114.82 In.upf
CELL_PARAMETERS angstrom
9.477 0.000 0.000
0.000 9.477 0.000
0.000 0.000 4.027
ATOMIC_POSITIONS crystal
Sr 0.177 0.323 0.000
Sr 0.323 0.823 0.000
Sr 0.677 0.177 0.000
Sr 0.823 0.677 0.000
Mg 0.000 0.000 0.000
Mg 0.500 0.500 0.000
In 0.117 0.617 0.500
In 0.383 0.117 0.500
In 0.617 0.883 0.500
In 0.883 0.383 0.500
```

=====

# NdY14Pu

A relaxed NdY14Pu crystal (GGA-PBE, Alexandria via LeMat-Bulk). Values from VASP.

- N(E_F): 1.9041 states/eV/atom
- Calculated total energy: -108.8 eV per cell
- Magnetization: 6.37 μB/f.u.
- Crystal system: tetragonal

Quantum ESPRESSO input file:
```
&SYSTEM
  ibrav = 0, nat = 16, ntyp = 3
/
ATOMIC_SPECIES
Nd 144.24 Nd.upf
Y 88.91 Y.upf
Pu 244.00 Pu.upf
CELL_PARAMETERS angstrom
7.157 0.000 0.000
0.000 7.157 0.000
0.000 0.000 10.059
ATOMIC_POSITIONS crystal
Nd 0.000 0.000 0.000
Y 0.000 0.000 0.500
Y 0.000 0.500 0.000
Y 0.000 0.500 0.500
Y 0.252 0.252 0.249
Y 0.252 0.252 0.751
Y 0.252 0.748 0.249
Y 0.252 0.748 0.751
Y 0.500 0.000 0.000
Y 0.500 0.000 0.500
Y 0.500 0.500 0.500
Y 0.748 0.252 0.249
Y 0.748 0.252 0.751
Y 0.748 0.748 0.249
Y 0.748 0.748 0.751
Pu 0.500 0.500 0.000
```